[1]
Here is a relaxed structure of Te3Se2I2 from Alexandria. Energies are from PBE.

a b c (Å): 4.786 7.356 9.182
angles (deg): 67.64 81.29 85.83
Space group P-1 (No. 2)
Asymmetric unit:
Te  0.000  0.000  0.000 [1 per cell]
Te  0.128  0.176  0.392 [2 per cell]
Se  0.166  0.757  0.824 [2 per cell]
I  0.359  0.722  0.212 [2 per cell]

=====

[2]
Here is a relaxed structure of HoTm2Zn from Alexandria. Energies are from PBE.

a b c (Å): 3.5506 3.5506 30.2794
angles (deg): 90.00 90.00 120.00
Space group R3m (No. 160, hexagonal axes)
Asymmetric unit:
Ho  0.0000  0.0000  0.0000 [3 per cell]
Tm  0.0000  0.0000  0.5722 [3 per cell]
Tm  0.0000  0.0000  0.7606 [3 per cell]
Zn  0.0000  0.0000  0.1659 [3 per cell]

Properties
Distance to the lowest polymorph of the same formula in eV per atom: 0.0995
Energy relative to the elements in meV per atom: -65

=====

[3]
Here is a relaxed structure of UIn3F8 from Alexandria. Energies are from PBE.

a b c (Å): 6.114 6.114 6.114
angles (deg): 90.00 90.00 90.00
Space group Pm-3m (No. 221)
Asymmetric unit:
U  0.000  0.000  0.000 [1 per cell]
In  0.000  0.500  0.500 [3 per cell]
F  0.211  0.211  0.211 [8 per cell]

=====

[4]
Here is a relaxed structure of CsGaAg from Alexandria. Energies are from PBE.

a b c (Å): 5.218 4.699 11.093
angles (deg): 90.00 95.58 90.00
Space group P2_1/m (No. 11)
Asymmetric unit:
Cs  0.220  0.250  0.289 [2 per cell]
Ga  0.372  0.750  0.024 [2 per cell]
Ag  0.125  0.250  0.955 [2 per cell]

Properties
Distance to the lowest polymorph of the same formula in eV per atom: 0.0000
Energy relative to the elements in meV per atom: -31

=====

| no. | ρ (g/cm3) | uncorrected energy (eV/atom) |
| --- | --- | --- |
| 1 | 4.46 | -2.737 |
| 2 | 8.56 | -3.764 |
| 3 | 5.34 | -5.470 |
| 4 | 3.81 | -2.275 |